one | A plane-wave DFT calculation with PBE-GGA was carried out for a geometry-optimized MgPOs2 structure.

Unit cell a=2.891 b=2.891 c=8.223 alpha=90.00 beta=90.00 gamma=118.67
Positions (direct):
Mg: 0.000 0.000 0.000
P: 0.000 0.000 0.500
Os: 0.500 0.500 0.285
Os: 0.500 0.500 0.715

Total magnetization ... 0.0 μB/f.u.

***

two | A plane-wave DFT calculation with PBE-GGA was carried out for a geometry-optimized MgPOs2 structure.

Unit cell a=2.858 b=2.858 c=7.481 alpha=90.00 beta=90.00 gamma=90.00
Positions (direct):
Mg: 0.000 0.000 0.000
P: 0.500 0.500 0.693
Os: 0.000 0.000 0.505
Os: 0.500 0.500 0.259

Total magnetization ... 0.0 μB/f.u.

***

Most stable structure: two

***

one | A plane-wave DFT calculation with PBE-GGA was carried out for a geometry-optimized Mg3POs structure.

Unit cell a=4.723 b=4.723 c=4.723 alpha=90.00 beta=90.00 gamma=90.00
Positions (direct):
Mg: 0.000 0.000 0.500
Mg: 0.000 0.500 0.000
Mg: 0.500 0.000 0.000
P: 0.000 0.000 0.000
Os: 0.500 0.500 0.500

Total magnetization ... 1.1 μB/f.u.

***

two | A plane-wave DFT calculation with PBE-GGA was carried out for a geometry-optimized Mg3POs structure.

Unit cell a=4.928 b=4.928 c=4.928 alpha=90.00 beta=90.00 gamma=90.00
Positions (direct):
Mg: 0.000 0.000 0.500
Mg: 0.000 0.500 0.000
Mg: 0.500 0.000 0.000
P: 0.500 0.500 0.500
Os: 0.000 0.000 0.000

Total magnetization ... 0.9 μB/f.u.

***

Most stable structure: one

***

one | A plane-wave DFT calculation with PBE-GGA was carried out for a geometry-optimized MgPOsS2 structure.

Unit cell a=4.856 b=4.856 c=4.406 alpha=90.00 beta=90.00 gamma=90.00
Positions (direct):
Mg: 0.000 0.000 0.000
P: 0.500 0.500 0.000
Os: 0.500 0.500 0.500
S: 0.000 0.500 0.500
S: 0.500 0.000 0.500

Total magnetization ... 0.5 μB/f.u.

***

two | A plane-wave DFT calculation with PBE-GGA was carried out for a geometry-optimized MgPOsS2 structure.

Unit cell a=4.587 b=4.587 c=4.779 alpha=90.00 beta=90.00 gamma=90.00
Positions (direct):
Mg: 0.000 0.000 0.000
P: 0.000 0.000 0.500
Os: 0.500 0.500 0.500
S: 0.000 0.500 0.000
S: 0.500 0.000 0.000

Total magnetization ... 2.2 μB/f.u.

***

Most stable structure: one

***

one | A plane-wave DFT calculation with PBE-GGA was carried out for a geometry-optimized MgPaOs structure.

Unit cell a=6.488 b=6.488 c=6.488 alpha=151.29 beta=151.29 gamma=41.05
Positions (direct):
Mg: 0.000 0.000 0.000
Pa: 0.277 0.277 0.000
Os: 0.640 0.640 0.000

Total magnetization ... 0.0 μB/f.u.

***

two | A plane-wave DFT calculation with PBE-GGA was carried out for a geometry-optimized MgPaOs structure.

Unit cell a=6.288 b=6.288 c=6.288 alpha=138.38 beta=129.54 gamma=67.41
Positions (direct):
Mg: 0.241 0.000 0.241
Mg: 0.759 0.000 0.759
Pa: 0.305 0.305 0.000
Pa: 0.695 0.695 0.000
Os: 0.134 0.634 0.500
Os: 0.866 0.366 0.500

Total magnetization ... 0.0 μB/f.u.

***

Most stable structure: two

***

one | A plane-wave DFT calculation with PBE-GGA was carried out for a geometry-optimized MgPa2Os structure.

Unit cell a=3.658 b=3.658 c=6.808 alpha=90.00 beta=90.00 gamma=90.00
Positions (direct):
Mg: 0.000 0.000 0.000
Pa: 0.500 0.500 0.291
Pa: 0.500 0.500 0.709
Os: 0.000 0.000 0.500

Total magnetization ... 0.0 μB/f.u.

***

two | A plane-wave DFT calculation with PBE-GGA was carried out for a geometry-optimized MgPa2Os structure.

Unit cell a=8.719 b=8.719 c=8.719 alpha=25.31 beta=25.31 gamma=25.31
Positions (direct):
Mg: 0.000 0.000 0.000
Pa: 0.231 0.231 0.231
Pa: 0.769 0.769 0.769
Os: 0.500 0.500 0.500

Total magnetization ... 0.0 μB/f.u.

***

Most stable structure: one

***

one | A plane-wave DFT calculation with PBE-GGA was carried out for a geometry-optimized MgOsPb structure.

Unit cell a=5.275 b=5.275 c=5.275 alpha=141.83 beta=141.83 gamma=55.08
Positions (direct):
Mg: 0.000 0.000 0.000
Os: 0.356 0.356 0.000
Pb: 0.688 0.688 0.000

Total magnetization ... 0.0 μB/f.u.

***

two | A plane-wave DFT calculation with PBE-GGA was carried out for a geometry-optimized MgOsPb structure.

Unit cell a=3.159 b=3.159 c=7.019 alpha=90.00 beta=90.00 gamma=120.00
Positions (direct):
Mg: 0.000 0.000 0.000
Os: 0.667 0.333 0.285
Pb: 0.333 0.667 0.600

Total magnetization ... 0.0 μB/f.u.

***

three | A plane-wave DFT calculation with PBE-GGA was carried out for a geometry-optimized MgOsPb structure.

Unit cell a=4.701 b=4.701 c=3.111 alpha=90.00 beta=90.00 gamma=120.00
Positions (direct):
Mg: 0.000 0.000 0.000
Os: 0.333 0.667 0.500
Pb: 0.667 0.333 0.500

Total magnetization ... 0.5 μB/f.u.

***

four | A plane-wave DFT calculation with PBE-GGA was carried out for a geometry-optimized MgOsPb structure.

Unit cell a=7.568 b=7.337 c=3.065 alpha=82.39 beta=73.94 gamma=23.67
Positions (direct):
Mg: 0.000 0.000 0.000
Os: 0.639 0.639 0.361
Pb: 0.294 0.294 0.706

Total magnetization ... 0.0 μB/f.u.

***

Most stable structure: one